(1)
Computed, not measured: a crystal of HoTmO3 relaxed with PBEsol at the SCAN level of DFT.

The structure in POSCAR format:
```
HoTmO3
1.0
5.538 0.000 0.000
0.000 5.813 0.000
0.000 0.000 8.229
Ho Tm O
4 4 12
Direct
0.022 0.944 0.750 Ho
0.478 0.444 0.750 Ho
0.522 0.556 0.250 Ho
0.978 0.056 0.250 Ho
0.000 0.500 0.000 Tm
0.000 0.500 0.500 Tm
0.500 0.000 0.000 Tm
0.500 0.000 0.500 Tm
0.151 0.421 0.250 O
0.187 0.190 0.581 O
0.187 0.190 0.919 O
0.313 0.690 0.919 O
0.313 0.690 0.581 O
0.349 0.921 0.250 O
0.651 0.079 0.750 O
0.687 0.310 0.081 O
0.687 0.310 0.419 O
0.813 0.810 0.081 O
0.813 0.810 0.419 O
0.849 0.579 0.750 O
```

Summary:
For the total DFT energy (no corrections), the calculation gives -556.108 eV per cell.

---

(2)
Computed, not measured: a crystal of Ho2W3O12 relaxed with PBEsol at the SCAN level of DFT.

The structure in POSCAR format:
```
Ho2W3O12
1.0
10.013 0.000 -0.028
0.000 10.111 0.000
0.043 0.000 14.033
Ho W O
8 12 48
Direct
0.750 0.969 0.883 Ho
0.750 0.031 0.383 Ho
0.750 0.531 0.117 Ho
0.750 0.469 0.617 Ho
0.250 0.531 0.383 Ho
0.250 0.469 0.883 Ho
0.250 0.969 0.617 Ho
0.250 0.031 0.117 Ho
0.975 0.750 0.500 W
0.890 0.614 0.857 W
0.890 0.886 0.143 W
0.610 0.386 0.357 W
0.610 0.114 0.643 W
0.525 0.250 0.000 W
0.475 0.750 0.000 W
0.390 0.886 0.357 W
0.390 0.614 0.643 W
0.110 0.114 0.857 W
0.110 0.386 0.143 W
0.025 0.250 0.500 W
0.934 0.086 0.861 O
0.922 0.336 0.583 O
0.922 0.164 0.417 O
0.934 0.414 0.139 O
0.872 0.865 0.437 O
0.858 0.786 0.840 O
0.859 0.713 0.160 O
0.872 0.635 0.563 O
0.818 0.979 0.238 O
0.818 0.520 0.762 O
0.817 0.564 0.967 O
0.818 0.936 0.032 O
0.682 0.436 0.468 O
0.683 0.064 0.533 O
0.682 0.020 0.738 O
0.682 0.479 0.262 O
0.628 0.135 0.937 O
0.641 0.213 0.340 O
0.642 0.286 0.660 O
0.628 0.365 0.063 O
0.578 0.836 0.917 O
0.566 0.914 0.361 O
0.578 0.664 0.083 O
0.566 0.586 0.639 O
0.434 0.414 0.361 O
0.422 0.336 0.917 O
0.434 0.086 0.639 O
0.422 0.164 0.083 O
0.372 0.635 0.937 O
0.358 0.714 0.340 O
0.359 0.787 0.660 O
0.372 0.865 0.063 O
0.318 0.521 0.738 O
0.318 0.980 0.262 O
0.317 0.936 0.467 O
0.318 0.564 0.532 O
0.182 0.064 0.968 O
0.183 0.436 0.033 O
0.182 0.480 0.238 O
0.182 0.021 0.762 O
0.128 0.365 0.437 O
0.141 0.287 0.840 O
0.142 0.214 0.160 O
0.128 0.135 0.563 O
0.066 0.586 0.861 O
0.078 0.836 0.583 O
0.078 0.664 0.417 O
0.066 0.914 0.139 O
```

Summary:
The calculation puts the distance to the lowest polymorph of the same formula at 0.025 eV per atom. For the total DFT energy (no corrections), the calculation gives -1718.195 eV per cell.

---

(3)
Computed, not measured: a crystal of Ho2W3O12 relaxed with PBEsol at the SCAN level of DFT.

The structure in POSCAR format:
```
Ho2W3O12
1.0
6.735 0.025 0.021
-2.517 6.247 0.021
-2.060 -3.063 10.589
Ho W O
4 6 24
Direct
0.957 0.710 0.408 Ho
0.710 0.957 0.908 Ho
0.290 0.043 0.092 Ho
0.043 0.290 0.592 Ho
0.756 0.538 0.053 W
0.538 0.756 0.553 W
0.866 0.134 0.250 W
0.134 0.866 0.750 W
0.462 0.244 0.447 W
0.244 0.462 0.947 W
0.903 0.533 0.204 O
0.790 0.869 0.279 O
0.659 0.077 0.104 O
0.333 0.774 0.439 O
0.917 0.821 0.042 O
0.602 0.528 0.423 O
0.533 0.903 0.704 O
0.472 0.398 0.077 O
0.179 0.083 0.458 O
0.226 0.667 0.061 O
0.923 0.341 0.396 O
0.869 0.790 0.779 O
0.131 0.210 0.221 O
0.077 0.659 0.604 O
0.774 0.333 0.939 O
0.821 0.917 0.542 O
0.528 0.602 0.923 O
0.467 0.097 0.296 O
0.398 0.472 0.577 O
0.083 0.179 0.958 O
0.667 0.226 0.561 O
0.341 0.923 0.896 O
0.210 0.131 0.721 O
0.097 0.467 0.796 O
```

Summary:
The calculation puts the distance to the lowest polymorph of the same formula at 0.000 eV per atom. For the total DFT energy (no corrections), the calculation gives -859.958 eV per cell.

---

(4)
Computed, not measured: a crystal of Y7HoO12 relaxed with PBEsol at the SCAN level of DFT.

The structure in POSCAR format:
```
Y7HoO12
1.0
-3.117 -0.964 -8.517
-2.783 -7.052 5.071
-9.117 -0.256 0.108
Y Ho O
14 2 24
Direct
0.750 0.217 0.033 Y
0.500 0.000 0.500 Y
0.033 0.250 0.217 Y
0.467 0.750 0.283 Y
0.217 0.967 0.250 Y
0.718 0.468 0.250 Y
0.000 0.999 0.000 Y
0.000 0.500 0.500 Y
0.500 0.501 0.000 Y
0.250 0.283 0.467 Y
0.782 0.032 0.750 Y
0.283 0.533 0.750 Y
0.532 0.250 0.718 Y
0.968 0.750 0.782 Y
0.750 0.717 0.533 Ho
0.250 0.783 0.967 Ho
0.272 0.230 0.239 O
0.468 0.011 0.261 O
0.230 0.761 0.729 O
0.729 0.958 0.031 O
0.511 0.542 0.228 O
0.010 0.739 0.531 O
0.228 0.489 0.542 O
0.032 0.270 0.958 O
0.458 0.228 0.511 O
0.957 0.968 0.271 O
0.739 0.469 0.989 O
0.239 0.728 0.229 O
0.761 0.272 0.770 O
0.042 0.031 0.730 O
0.261 0.532 0.011 O
0.543 0.772 0.489 O
0.970 0.729 0.042 O
0.771 0.512 0.458 O
0.989 0.261 0.469 O
0.490 0.458 0.771 O
0.270 0.042 0.969 O
0.771 0.239 0.272 O
0.530 0.988 0.741 O
0.729 0.771 0.759 O
```

Summary:
For the total DFT energy (no corrections), the calculation gives -794.979 eV per cell.

---

Computed values of magnetization (unit: μB/atom) for the preceding records, in sequence: 0.000 0.000 0.000 0.000.
Computed values of Fermi-level density of states (unit: states/eV/f.u.) for the preceding records, in sequence: 0.00 0.00 0.00 0.00.